## a
SbN2F2: optimized geometry, PBE-GGA.

Summary:
Volume = 14.271 A^3/atom
M_tot = 0.53 μB per atom

Unit cell a=4.2859 b=4.2859 c=3.8847 alpha=90.00 beta=90.00 gamma=90.00
Last column: nearest neighbours and their distance in Å.
Space group P4/mmm (No. 123)
One atom of each set of equivalent atoms:
Sb 0.0000 0.0000 0.0000  2 N 1.94, 4 F 2.14
N 0.0000 0.0000 0.5000  2 Sb 1.94
N 0.5000 0.5000 0.5000  8 F 2.89, 4 N 3.03
F 0.0000 0.5000 0.0000  2 Sb 2.14



## b
SbN2F2: optimized geometry, PBE-GGA.

Summary:
Volume = 11.489 A^3/atom
M_tot = 0.20 μB per atom

Unit cell a=3.6373 b=3.6373 c=4.3418 alpha=90.00 beta=90.00 gamma=90.00
Last column: nearest neighbours and their distance in Å.
Space group P4/mmm (No. 123)
One atom of each set of equivalent atoms:
Sb 0.0000 0.0000 0.0000  4 F 2.57, 8 N 2.83
N 0.0000 0.5000 0.5000  2 F 1.82
F 0.5000 0.5000 0.0000  2 F 2.17
F 0.5000 0.5000 0.5000  4 N 1.82



Least stable = b



## a
Sb2N2F: optimized geometry, PBE-GGA.

Summary:
Volume = 15.018 A^3/atom
M_tot = 0.00 μB per atom

Unit cell a=6.8633 b=6.8633 c=3.1881 alpha=90.00 beta=90.00 gamma=90.00
Last column: nearest neighbours and their distance in Å.
Space group P4/mbm (No. 127)
One atom of each set of equivalent atoms:
Sb 0.1891 0.3109 0.0000  2 N 2.07
N 0.1746 0.6746 0.5000  2 Sb 2.07
F 0.0000 0.0000 0.0000  4 Sb 2.50



## b
Sb2N2F: optimized geometry, PBE-GGA.

Summary:
Volume = 15.274 A^3/atom
M_tot = 0.00 μB per atom

Unit cell a=3.8232 b=3.8232 c=10.4496 alpha=90.00 beta=90.00 gamma=90.00
Last column: nearest neighbours and their distance in Å.
Space group I4/mmm (No. 139)
One atom of each set of equivalent atoms:
Sb 0.0000 0.0000 0.1511  4 N 2.17
N 0.0000 0.5000 0.2500  4 Sb 2.17
F 0.0000 0.0000 0.5000  8 Sb 3.13, 8 N 3.24



Least stable = a